Material: BAs2OsBr
Method: DFT, GGA-PBE
State: relaxed

Calculated values
E_tot: -4.395 eV/atom
Space group: No. 123
Relative energy among the computed polymorphs: 0.0 meV/atom
Energy relative to the elements, uncorrected: 1.38 eV per atom
Size of the total moment: 0.0000 μB per atom

abc: 4.689 4.689 5.555
angles: 90.00 90.00 90.00
Atoms (fractional coordinates):
B: 0.000 0.000 0.000
As: 0.000 0.500 0.500
As: 0.500 0.000 0.500
Os: 0.500 0.500 0.500
Br: 0.500 0.500 0.000